No. 1
ZnBi2AuSe after structural relaxation, computed with PBE-GGA.

Calculated values
The formation energy (no corrections) is 254 kJ/mol of formula units. The value obtained for the density of states at the Fermi level is 5.8 states/eV/cell. Its density is 8.98 g/cm3.

Geometry as CIF:
```
data_ZnBi2AuSe
_chemical_formula_sum 'Zn1 Bi2 Au1 Se1'
_space_group_name_H-M_alt 'P 4/m m m'
_space_group_IT_number 123
_space_group_name_Hall '-P 4 2'
_cell_length_a 5.4778
_cell_length_b 5.4778
_cell_length_c 4.6779
_cell_angle_alpha 90.00
_cell_angle_beta 90.00
_cell_angle_gamma 90.00
loop_
_atom_site_label
_atom_site_fract_x
_atom_site_fract_y
_atom_site_fract_z
Zn1 0.0000 0.0000 0.0000
Bi1 0.0000 0.5000 0.0000
Au1 0.5000 0.5000 0.5000
Se1 0.0000 0.0000 0.5000
```

=====

No. 2
SiBiAu2 after structural relaxation, computed with PBE-GGA.

Calculated values
The formation energy (no corrections) is 106 kJ/mol of formula units. The value obtained for the density of states at the Fermi level is 8.0 states/eV/cell. The distance to the lowest polymorph of the same formula is 0.97 eV per formula unit. Its density is 12.40 g/cm3.

Geometry as CIF:
```
data_SiBiAu2
_chemical_formula_sum 'Si4 Bi4 Au8'
_space_group_name_H-M_alt 'F m -3 m'
_space_group_IT_number 225
_space_group_name_Hall '-F 4 2 3'
_cell_length_a 6.9658
_cell_length_b 6.9658
_cell_length_c 6.9658
_cell_angle_alpha 90.00
_cell_angle_beta 90.00
_cell_angle_gamma 90.00
loop_
_atom_site_label
_atom_site_fract_x
_atom_site_fract_y
_atom_site_fract_z
Si1 0.0000 0.0000 0.0000
Bi1 0.0000 0.0000 0.5000
Au1 0.2500 0.2500 0.2500
```

=====

No. 3
SiBi2Au2 after structural relaxation, computed with PBE-GGA.

Calculated values
The formation energy (no corrections) is 124 kJ/mol of formula units. The value obtained for the density of states at the Fermi level is 5.1 states/eV/cell. The distance to the lowest polymorph of the same formula is 0.49 eV per formula unit. Its density is 11.34 g/cm3.

Geometry as CIF:
```
data_SiBi2Au2
_chemical_formula_sum 'Si2 Bi4 Au4'
_space_group_name_H-M_alt 'I 4/m m m'
_space_group_IT_number 139
_space_group_name_Hall '-I 4 2'
_cell_length_a 3.8446
_cell_length_b 3.8446
_cell_length_c 16.6488
_cell_angle_alpha 90.00
_cell_angle_beta 90.00
_cell_angle_gamma 90.00
loop_
_atom_site_label
_atom_site_fract_x
_atom_site_fract_y
_atom_site_fract_z
Si1 0.0000 0.0000 0.0000
Bi1 0.0000 0.0000 0.4009
Au1 0.0000 0.5000 0.2500
```